Y2V2Mo | PBE-GGA | relaxed

Values from the calculation:
- ΔE_f (meV/atom) = 303

Unit cell a=6.384 b=6.384 c=5.081 alpha=90.00 beta=90.00 gamma=90.00
Sites, in units of the cell vectors:
Y: 0.176 0.324 0.000
Y: 0.324 0.824 0.000
Y: 0.676 0.176 0.000
Y: 0.824 0.676 0.000
V: 0.141 0.641 0.500
V: 0.359 0.141 0.500
V: 0.641 0.859 0.500
V: 0.859 0.359 0.500
Mo: 0.000 0.000 0.500
Mo: 0.500 0.500 0.500



TcBr | PBE-GGA | relaxed

Values from the calculation:
- offset from the most stable computed form (eV per atom) = 0.465

Unit cell a=4.791 b=4.791 c=7.300 alpha=108.70 beta=108.70 gamma=42.15
Sites, in units of the cell vectors:
Tc: 0.167 0.167 0.000
Tc: 0.833 0.833 0.000
Br: 0.428 0.428 0.744
Br: 0.572 0.572 0.256



CrTcTe2I | PBE-GGA | relaxed

Values from the calculation:
- offset from the most stable computed form (eV per atom) = 0.177

Unit cell a=5.130 b=5.130 c=5.657 alpha=90.00 beta=90.00 gamma=90.00
Sites, in units of the cell vectors:
Cr: 0.000 0.000 0.000
Tc: 0.500 0.500 0.500
Te: 0.000 0.500 0.500
Te: 0.500 0.000 0.500
I: 0.500 0.500 0.000